Material: Rb2RePbAu
Method: DFT, GGA-PBE
State: relaxed

Computed properties:
- ΔE_f (meV per atom) = 1102

POSCAR file:
```
Rb2RePbAu
1.0
7.042 0.000 0.000
0.000 7.042 0.000
0.000 0.000 5.210
Rb Re Pb Au
2 1 1 1
Direct
0.000 0.500 0.000 Rb
0.500 0.000 0.000 Rb
0.000 0.000 0.500 Re
0.000 0.000 0.000 Pb
0.500 0.500 0.500 Au
```

Material: RbPbAuS2
Method: DFT, GGA-PBE
State: relaxed

Computed properties:
- uncorrected formation energy (eV per formula unit) = -3.0

POSCAR file:
```
RbPbAuS2
1.0
3.821 -7.598 0.000
3.821 7.598 0.000
0.000 0.000 5.589
Rb Pb Au S
2 2 2 4
Direct
0.250 0.750 0.770 Rb
0.750 0.250 0.230 Rb
0.250 0.250 0.500 Pb
0.750 0.750 0.500 Pb
0.000 0.000 0.000 Au
0.500 0.500 0.000 Au
0.120 0.880 0.263 S
0.380 0.620 0.263 S
0.620 0.380 0.737 S
0.880 0.120 0.737 S
```

Material: Rb2Sb2PbAu
Method: DFT, GGA-PBE
State: relaxed

Computed properties:
- uncorrected formation energy (eV per formula unit) = -1.7

POSCAR file:
```
Rb2Sb2PbAu
1.0
-3.626 8.252 3.694
3.626 -8.252 3.694
3.626 8.252 -3.694
Rb Sb Pb Au
4 4 2 2
Direct
0.167 0.248 0.416 Rb
0.333 0.748 0.081 Rb
0.667 0.252 0.919 Rb
0.833 0.752 0.584 Rb
0.093 0.779 0.872 Sb
0.407 0.279 0.686 Sb
0.593 0.721 0.314 Sb
0.907 0.221 0.128 Sb
0.250 0.750 0.500 Pb
0.750 0.250 0.500 Pb
0.250 0.250 0.000 Au
0.750 0.750 0.000 Au
```

Material: RbSb2Pb2Au2
Method: DFT, GGA-PBE
State: relaxed

Computed properties:
- uncorrected formation energy (eV per formula unit) = -1.5

POSCAR file:
```
RbSb2Pb2Au2
1.0
2.357 1.361 11.751
-2.357 1.361 11.751
0.000 -2.721 11.751
Rb Sb Pb Au
1 2 2 2
Direct
0.000 0.000 0.000 Rb
0.259 0.259 0.259 Sb
0.741 0.741 0.741 Sb
0.131 0.131 0.131 Pb
0.869 0.869 0.869 Pb
0.421 0.421 0.421 Au
0.579 0.579 0.579 Au
```

Material: RbSb2Pb2Au
Method: DFT, GGA-PBE
State: relaxed

Computed properties:
- uncorrected formation energy (eV per formula unit) = -1.0

POSCAR file:
```
RbSb2Pb2Au
1.0
6.731 0.000 0.000
0.000 13.003 0.000
0.000 0.000 5.029
Rb Sb Pb Au
2 4 4 2
Direct
0.000 0.000 0.000 Rb
0.500 0.500 0.500 Rb
0.238 0.336 0.000 Sb
0.262 0.836 0.500 Sb
0.738 0.164 0.500 Sb
0.762 0.664 0.000 Sb
0.220 0.198 0.500 Pb
0.280 0.698 0.000 Pb
0.720 0.302 0.000 Pb
0.780 0.802 0.500 Pb
0.000 0.500 0.000 Au
0.500 0.000 0.500 Au
```

Material: Rb2Sb4PbAu3
Method: DFT, GGA-PBE
State: relaxed

Computed properties:
- uncorrected formation energy (eV per formula unit) = -2.3

POSCAR file:
```
Rb2Sb4PbAu3
1.0
5.089 0.000 0.000
0.000 5.089 0.000
0.000 0.000 11.462
Rb Sb Pb Au
2 4 1 3
Direct
0.000 0.500 0.248 Rb
0.500 0.000 0.752 Rb
0.000 0.000 0.000 Sb
0.000 0.500 0.642 Sb
0.500 0.000 0.358 Sb
0.500 0.500 0.000 Sb
0.000 0.000 0.500 Pb
0.000 0.500 0.886 Au
0.500 0.000 0.114 Au
0.500 0.500 0.500 Au
```

Material: RbPbAuSe2
Method: DFT, GGA-PBE
State: relaxed

Computed properties:
- energy above the lowest structure with this stoichiometry (eV per formula unit) = 4.34
- uncorrected formation energy (eV per formula unit) = 1.3

POSCAR file:
```
RbPbAuSe2
1.0
5.384 0.000 0.000
0.000 5.384 0.000
0.000 0.000 9.714
Rb Pb Au Se
1 1 1 2
Direct
0.000 0.000 0.000 Rb
0.000 0.000 0.500 Pb
0.500 0.500 0.000 Au
0.000 0.500 0.500 Se
0.500 0.000 0.500 Se
```

Material: RbPb2AuSe
Method: DFT, GGA-PBE
State: relaxed

Computed properties:
- uncorrected formation energy (eV per formula unit) = -0.1

POSCAR file:
```
RbPb2AuSe
1.0
5.603 0.000 0.000
0.000 5.603 0.000
0.000 0.000 5.601
Rb Pb Au Se
1 2 1 1
Direct
0.000 0.000 0.000 Rb
0.000 0.500 0.500 Pb
0.500 0.000 0.500 Pb
0.500 0.500 0.500 Au
0.500 0.500 0.000 Se
```

Material: RbPbAuSe2
Method: DFT, GGA-PBE
State: relaxed

Computed properties:
- energy above the lowest structure with this stoichiometry (eV per formula unit) = 0.00
- uncorrected formation energy (eV per formula unit) = -3.0

POSCAR file:
```
RbPbAuSe2
1.0
3.809 -7.814 0.000
3.809 7.814 0.000
0.000 0.000 5.851
Rb Pb Au Se
2 2 2 4
Direct
0.250 0.750 0.766 Rb
0.750 0.250 0.234 Rb
0.250 0.250 0.500 Pb
0.750 0.750 0.500 Pb
0.000 0.000 0.000 Au
0.500 0.500 0.000 Au
0.124 0.876 0.260 Se
0.376 0.624 0.260 Se
0.624 0.376 0.740 Se
0.876 0.124 0.740 Se
```

Material: RbSn2Pb2Au
Method: DFT, GGA-PBE
State: relaxed

Computed properties:
- ΔE_f (meV per atom) = -115

POSCAR file:
```
RbSn2Pb2Au
1.0
5.545 0.000 0.000
0.000 5.545 0.000
0.000 0.000 6.842
Rb Sn Pb Au
1 2 2 1
Direct
0.000 0.000 0.000 Rb
0.000 0.500 0.500 Sn
0.500 0.000 0.500 Sn
0.500 0.500 0.252 Pb
0.500 0.500 0.748 Pb
0.000 0.000 0.500 Au
```

Material: Rb2Sn3PbAu4
Method: DFT, GGA-PBE
State: relaxed

Computed properties:
- ΔE_f (meV per atom) = -256

POSCAR file:
```
Rb2Sn3PbAu4
1.0
5.088 0.000 0.000
0.000 5.088 0.000
0.000 0.000 10.995
Rb Sn Pb Au
2 3 1 4
Direct
0.000 0.500 0.243 Rb
0.500 0.000 0.757 Rb
0.000 0.500 0.889 Sn
0.500 0.000 0.111 Sn
0.500 0.500 0.500 Sn
0.000 0.000 0.500 Pb
0.000 0.000 0.000 Au
0.000 0.500 0.633 Au
0.500 0.000 0.367 Au
0.500 0.500 0.000 Au
```

Material: Rb2Sn3Pb4Au
Method: DFT, GGA-PBE
State: relaxed

Computed properties:
- ΔE_f (meV per atom) = -99

POSCAR file:
```
Rb2Sn3Pb4Au
1.0
5.231 0.000 0.000
0.000 5.231 0.000
0.000 0.000 13.015
Rb Sn Pb Au
2 3 4 1
Direct
0.000 0.500 0.240 Rb
0.500 0.000 0.760 Rb
0.000 0.000 0.000 Sn
0.000 0.500 0.635 Sn
0.500 0.000 0.365 Sn
0.000 0.000 0.500 Pb
0.000 0.500 0.882 Pb
0.500 0.000 0.118 Pb
0.500 0.500 0.500 Pb
0.500 0.500 0.000 Au
```